Record 1
Material: Nd8TeAs6
Method: DFT, GGA-PBE
State: relaxed

## Properties
- energy (eV per atom) = -5.811
- size of the total moment (μB/cell) = 0.0
- formation energy from raw total energies (eV per atom) = -1.198
- V (Å³/atom) = 30.44

The structure in POSCAR format:
```
Nd8TeAs6
1.0
-2.587 -3.286 1.451
-4.855 -0.488 -9.762
8.841 -6.076 2.007
Nd As Te
8 6 1
Direct
0.741 0.689 0.656
0.741 0.967 0.311
0.259 0.311 0.344
0.741 0.344 0.033
0.259 0.033 0.689
0.253 0.667 0.333
0.747 0.333 0.667
0.259 0.656 0.967
0.243 0.343 0.865
0.757 0.478 0.343
0.757 0.657 0.135
0.243 0.522 0.657
0.757 0.865 0.522
0.243 0.135 0.478
0.500 0.000 0.000
```


Record 2
Material: AcUP2
Method: DFT, GGA-PBE
State: relaxed

## Properties
- energy (eV per atom) = -7.569
- size of the total moment (μB/cell) = 2.4
- V (Å³/atom) = 26.02
- E_form (kcal/mol of atoms) = -23.41

The structure in POSCAR format:
```
AcUP2
1.0
-1.628 1.223 -3.518
-0.889 -2.723 -2.883
-7.503 -1.297 0.674
U Ac P
1 1 2
Direct
0.669 0.669 0.993
0.496 0.496 0.511
0.073 0.073 0.782
0.262 0.262 0.214
```


Record 3
Material: Dy2BeGa3
Method: DFT, GGA-PBE
State: relaxed

## Properties
- energy (eV per atom) = -4.211
- size of the total moment (μB/cell) = 0.0
- V (Å³/atom) = 19.40
- E_form (kcal/mol of atoms) = -12.51

The structure in POSCAR format:
```
Dy2BeGa3
1.0
5.404 0.091 -1.670
-1.295 5.247 -1.670
-0.070 -0.091 8.233
Dy Ga Be
4 6 2
Direct
0.246 0.246 0.000
0.250 0.750 0.500
0.750 0.250 0.500
0.754 0.754 0.000
0.826 0.348 0.173
0.652 0.174 0.827
0.173 0.173 0.347
0.348 0.826 0.173
0.174 0.652 0.827
0.827 0.827 0.653
0.333 0.333 0.666
0.667 0.667 0.334
```


Record 4
Material: CaBi2F8
Method: DFT, GGA-PBE
State: relaxed

## Properties
- energy (eV per atom) = -5.050
- size of the total moment (μB/cell) = 0.0
- formation energy from raw total energies (eV per atom) = -2.801
- V (Å³/atom) = 14.26

The structure in POSCAR format:
```
CaBi2F8
1.0
-3.243 2.082 -2.079
0.779 -4.735 -4.082
-3.245 -1.868 5.066
F Bi Ca
8 2 1
Direct
0.915 0.945 0.679
0.318 0.651 0.651
0.500 0.770 0.230
0.085 0.321 0.055
0.682 0.349 0.349
0.085 0.055 0.321
0.500 0.230 0.770
0.915 0.679 0.945
0.000 0.682 0.318
0.000 0.318 0.682
0.500 0.000 0.000
```


Record 5
Material: KRu4Pt
Method: DFT, GGA-PBE
State: relaxed

## Properties
- energy (eV per atom) = -6.430
- size of the total moment (μB/cell) = 2.6
- V (Å³/atom) = 16.94
- E_form (kcal/mol of atoms) = 21.77

The structure in POSCAR format:
```
KRu4Pt
1.0
-3.361 -3.333 2.243
-4.402 -1.357 -2.495
-0.543 -4.850 -1.903
Pt Ru K
1 4 1
Direct
0.000 0.000 0.000
0.877 0.374 0.374
0.374 0.374 0.877
0.374 0.877 0.374
0.374 0.374 0.374
0.750 0.750 0.750
```


Record 6
Material: Zn2GaBi2
Method: DFT, GGA-PBE
State: relaxed

## Properties
- energy (eV per atom) = -2.492
- size of the total moment (μB/cell) = 0.0
- V (Å³/atom) = 24.70
- E_form (kcal/mol of atoms) = 4.05

The structure in POSCAR format:
```
Zn2GaBi2
1.0
8.527 0.000 0.000
0.000 8.527 0.000
0.000 0.000 3.397
Bi Zn Ga
4 4 2
Direct
0.186 0.686 0.500
0.814 0.314 0.500
0.314 0.186 0.500
0.686 0.814 0.500
0.889 0.611 0.000
0.389 0.889 0.000
0.111 0.389 0.000
0.611 0.111 0.000
0.000 0.000 0.000
0.500 0.500 0.000
```


Record 7
Material: SrZrAg2
Method: DFT, GGA-PBE
State: relaxed

## Properties
- energy (eV per atom) = -4.031
- size of the total moment (μB/cell) = 0.5
- V (Å³/atom) = 24.64
- E_form (kcal/mol of atoms) = -1.11

The structure in POSCAR format:
```
SrZrAg2
1.0
3.592 0.000 0.000
0.000 3.611 0.002
0.000 3.616 7.599
Sr Zr Ag
1 1 2
Direct
0.500 0.250 0.250
0.500 0.750 0.750
0.000 0.047 0.953
0.000 0.453 0.547
```


Record 8
Material: Li5B8C8
Method: DFT, GGA-PBE
State: relaxed

## Properties
- energy (eV per atom) = -6.649
- size of the total moment (μB/cell) = 0.0
- V (Å³/atom) = 8.94
- E_form (kcal/mol of atoms) = -3.13

The structure in POSCAR format:
```
Li5B8C8
1.0
-7.521 1.255 -1.975
-7.423 -1.433 -2.208
0.363 -0.800 9.370
B C Li
8 8 5
Direct
0.873 0.873 0.604
0.619 0.619 0.641
0.131 0.131 0.394
0.878 0.878 0.111
0.630 0.630 0.144
0.117 0.117 0.889
0.375 0.375 0.354
0.377 0.377 0.860
0.876 0.876 0.273
0.876 0.876 0.772
0.382 0.382 0.025
0.134 0.134 0.232
0.373 0.373 0.520
0.113 0.113 0.722
0.615 0.615 0.974
0.629 0.629 0.481
0.496 0.496 0.746
0.002 0.002 0.477
0.753 0.753 0.361
0.246 0.246 0.647
0.004 0.004 0.024
```